No. 1
! LaCrAs2Ir PBE relaxed; values from VASP
&SYSTEM
  ibrav = 0, nat = 5, ntyp = 4
/
ATOMIC_SPECIES
La 138.91 La.upf
Cr 52.00 Cr.upf
As 74.92 As.upf
Ir 192.22 Ir.upf
CELL_PARAMETERS angstrom
4.661 0.000 0.000
0.000 4.661 0.000
0.000 0.000 4.738
ATOMIC_POSITIONS angstrom
La 0.000 0.000 0.000
Cr 2.330 2.330 2.369
As 0.000 2.330 2.369
As 2.330 0.000 2.369
Ir 2.330 2.330 0.000
! - energy of formation from the pure elements (eV per formula unit) = -1.01
! - N(E_F) (states/eV per atom) = 0.85
! - energy above the lowest structure with this stoichiometry (meV/atom) = 0
! - magnetic moment (μB/f.u.) = 0.27
! - space group = P4/mmm, No. 123

=====

No. 2
! CrAs2IrN PBE relaxed; values from VASP
&SYSTEM
  ibrav = 0, nat = 5, ntyp = 4
/
ATOMIC_SPECIES
Cr 52.00 Cr.upf
As 74.92 As.upf
Ir 192.22 Ir.upf
N 14.01 N.upf
CELL_PARAMETERS angstrom
4.538 0.000 0.000
0.000 4.538 0.000
0.000 0.000 4.560
ATOMIC_POSITIONS angstrom
Cr 0.000 0.000 0.000
As 0.000 2.269 0.000
As 2.269 0.000 0.000
Ir 0.000 0.000 2.280
N 2.269 2.269 2.280
! - N(E_F) (states/eV per atom) = 0.96
! - energy (eV per atom) = -5.48
! - magnetic moment (μB/f.u.) = 1.58
! - space group = P4/mmm, No. 123

=====

No. 3
! CrAsP2Ir PBE relaxed; values from VASP
&SYSTEM
  ibrav = 0, nat = 5, ntyp = 4
/
ATOMIC_SPECIES
Cr 52.00 Cr.upf
As 74.92 As.upf
P 30.97 P.upf
Ir 192.22 Ir.upf
CELL_PARAMETERS angstrom
4.490 0.000 0.000
0.000 4.490 0.000
0.000 0.000 4.823
ATOMIC_POSITIONS angstrom
Cr 0.000 0.000 0.000
As 2.245 2.245 0.000
P 0.000 2.245 2.411
P 2.245 0.000 2.411
Ir 0.000 0.000 2.411
! - energy of formation from the pure elements (eV per formula unit) = 5.03
! - N(E_F) (states/eV per atom) = 1.22
! - magnetic moment (μB/f.u.) = 0.07
! - space group = P4/mmm, No. 123

=====

No. 4
! CrAs2IrSe PBE relaxed; values from VASP
&SYSTEM
  ibrav = 0, nat = 5, ntyp = 4
/
ATOMIC_SPECIES
Cr 52.00 Cr.upf
As 74.92 As.upf
Ir 192.22 Ir.upf
Se 78.96 Se.upf
CELL_PARAMETERS angstrom
4.667 0.000 0.000
0.000 4.667 0.000
0.000 0.000 5.477
ATOMIC_POSITIONS angstrom
Cr 0.000 0.000 0.000
As 0.000 2.333 2.738
As 2.333 0.000 2.738
Ir 2.333 2.333 2.738
Se 2.333 2.333 0.000
! - N(E_F) (states/eV per atom) = 0.73
! - energy above the lowest structure with this stoichiometry (meV/atom) = 0
! - magnetic moment (μB/f.u.) = 4.17
! - space group = P4/mmm, No. 123

=====

No. 5
! CrAsIrSe2 PBE relaxed; values from VASP
&SYSTEM
  ibrav = 0, nat = 5, ntyp = 4
/
ATOMIC_SPECIES
Cr 52.00 Cr.upf
As 74.92 As.upf
Ir 192.22 Ir.upf
Se 78.96 Se.upf
CELL_PARAMETERS angstrom
4.568 0.000 0.000
0.000 4.568 0.000
0.000 0.000 4.605
ATOMIC_POSITIONS angstrom
Cr 0.000 0.000 0.000
As 0.000 0.000 2.302
Ir 2.284 2.284 2.302
Se 0.000 2.284 0.000
Se 2.284 0.000 0.000
! - N(E_F) (states/eV per atom) = 0.73
! - energy above the lowest structure with this stoichiometry (meV/atom) = 0
! - magnetic moment (μB/f.u.) = 0.00
! - space group = P4/mmm, No. 123

=====

No. 6
! Cr2SiAsIr PBE relaxed; values from VASP
&SYSTEM
  ibrav = 0, nat = 5, ntyp = 4
/
ATOMIC_SPECIES
Cr 52.00 Cr.upf
Si 28.09 Si.upf
As 74.92 As.upf
Ir 192.22 Ir.upf
CELL_PARAMETERS angstrom
4.391 0.000 0.000
0.000 4.391 0.000
0.000 0.000 4.576
ATOMIC_POSITIONS angstrom
Cr 0.000 2.195 0.000
Cr 2.195 0.000 0.000
Si 0.000 0.000 0.000
As 0.000 0.000 2.288
Ir 2.195 2.195 2.288
! - N(E_F) (states/eV per atom) = 1.36
! - energy (eV per atom) = -6.44
! - magnetic moment (μB/f.u.) = 5.24
! - space group = P4/mmm, No. 123

=====

No. 7
! Cr2AsIrW PBE relaxed; values from VASP
&SYSTEM
  ibrav = 0, nat = 5, ntyp = 4
/
ATOMIC_SPECIES
Cr 52.00 Cr.upf
As 74.92 As.upf
Ir 192.22 Ir.upf
W 183.84 W.upf
CELL_PARAMETERS angstrom
4.729 0.000 0.000
0.000 4.729 0.000
0.000 0.000 4.778
ATOMIC_POSITIONS angstrom
Cr 0.000 2.364 0.000
Cr 2.364 0.000 0.000
As 0.000 0.000 2.389
Ir 2.364 2.364 0.000
W 2.364 2.364 2.389
! - energy of formation from the pure elements (eV per formula unit) = 6.78
! - N(E_F) (states/eV per atom) = 0.92
! - magnetic moment (μB/f.u.) = 5.32
! - space group = P4/mmm, No. 123

=====

No. 8
! K3CrAs PBE relaxed; values from VASP
&SYSTEM
  ibrav = 0, nat = 5, ntyp = 3
/
ATOMIC_SPECIES
K 39.10 K.upf
Cr 52.00 Cr.upf
As 74.92 As.upf
CELL_PARAMETERS angstrom
6.398 0.000 0.000
0.000 6.398 0.000
0.000 0.000 6.398
ATOMIC_POSITIONS angstrom
K 0.000 0.000 3.199
K 0.000 3.199 0.000
K 3.199 0.000 0.000
Cr 3.199 3.199 3.199
As 0.000 0.000 0.000
! - energy of formation from the pure elements (eV per formula unit) = 2.43
! - N(E_F) (states/eV per atom) = 0.55
! - energy above the lowest structure with this stoichiometry (meV/atom) = 0
! - magnetic moment (μB/f.u.) = 6.00
! - space group = Pm-3m, No. 221